The following is a GGA-PBE calculation of a geometry-optimized Sr3AgW structure, from Alexandria via LeMat-Bulk.

## Properties
calculated volume: 196 Å³ per cell
energy relative to the elements: 1.01 eV/atom
space group: Pm-3m

Lattice parameters (Å, degrees): 5.809 5.809 5.809 90.00 90.00 90.00
Sites, in units of the cell vectors:
1 Sr 0.000 0.000 0.500
2 Sr 0.000 0.500 0.000
3 Sr 0.500 0.000 0.000
4 Ag 0.500 0.500 0.500
5 W 0.000 0.000 0.000